Entry i
DFT (PBE-GGA) results for a relaxed MgZnGaAu2 crystal.

Structure (POSCAR):
```
MgZnGaAu2
1.0
-3.2401 2.1297 3.0243
-3.4003 -0.8383 -3.0527
-0.8537 -4.3425 2.1434
Zn Au Mg Ga
1 2 1 1
Direct
0.0000 0.5000 0.0000
0.0000 0.0000 0.5000
0.5000 0.0000 0.0000
0.5000 0.5000 0.5000
0.0000 0.0000 0.0000
```

Results
calculated volume: 112 Å³/f.u.
ρ: 8.18 g/cm3
symmetry: P4/mmm

Entry ii
DFT (PBE-GGA) results for a relaxed MgZnGaAu2 crystal.

Structure (POSCAR):
```
MgZnGaAu2
1.0
4.5594 0.0000 0.0000
-2.2797 3.9485 0.0000
0.0000 0.0000 5.2647
Mg Zn Ga Au
1 1 1 2
Direct
0.0000 0.0000 0.0012
0.6667 0.3333 0.3437
0.3333 0.6667 0.6540
0.3333 0.6667 0.1696
0.6667 0.3333 0.8314
```

Results
calculated volume: 95 Å³/f.u.
ρ: 9.69 g/cm3
symmetry: P3m1

Stability verdict: entry ii, ahead by 0.516 eV/atom

Entry i
DFT (PBE-GGA) results for a relaxed MnGa2Au6 crystal.

Structure (POSCAR):
```
MnGa2Au6
1.0
-1.1696 -4.0897 1.7659
8.0992 -3.0165 1.4326
2.9249 1.3617 8.1449
Mn Ga Au
2 4 12
Direct
0.2500 0.1378 0.8622
0.7500 0.8622 0.1378
0.4113 0.5100 0.8154
0.0887 0.1846 0.4900
0.5887 0.4900 0.1846
0.9113 0.8154 0.5100
0.4676 0.6782 0.4530
0.0324 0.5470 0.3218
0.5324 0.3218 0.5470
0.9676 0.4530 0.6782
0.6335 0.1258 0.3430
0.8665 0.6570 0.8742
0.3665 0.8742 0.6570
0.1335 0.3430 0.1258
0.3012 0.7873 0.0115
0.1988 0.9885 0.2127
0.6988 0.2127 0.9885
0.8012 0.0115 0.7873
```

Results
calculated volume: 159 Å³/f.u.
ρ: 14.34 g/cm3
symmetry: C2/c

Entry ii
DFT (PBE-GGA) results for a relaxed MnGa2Au6 crystal.

Structure (POSCAR):
```
MnGa2Au6
1.0
-1.6466 2.0965 1.2589
0.3879 -5.1949 5.7065
6.1609 3.9006 1.5623
Mn Ga Au
1 2 6
Direct
0.0000 0.0000 0.5000
0.7747 0.5493 0.8109
0.2253 0.4507 0.1891
0.9458 0.8916 0.8304
0.8705 0.7411 0.1718
0.1295 0.2589 0.8282
0.6583 0.3167 0.4830
0.3417 0.6833 0.5170
0.0542 0.1084 0.1696
```

Results
calculated volume: 165 Å³/f.u.
ρ: 13.88 g/cm3
symmetry: C2/m

Stability verdict: entry i, ahead by 0.066 eV/atom